# 1
VASP calculation (PBE) on a geometry-optimized Tb2DyIn3Cu2Pt structure.

a = 3.9737 Å, b = 7.5434 Å, c = 7.5434 Å
α = 120.01°, β = 90.00°, γ = 90.00°
Fractional positions:
1 Pt 0.0000 0.9995 0.9995
2 Cu 0.5000 0.3338 0.6664
3 Cu 0.5000 0.6664 0.3338
4 Dy 0.0000 0.5959 0.5959
5 In 0.5000 0.2638 0.2638
6 In 0.5000 0.9997 0.7363
7 In 0.5000 0.7363 0.9997
8 Tb 0.0000 0.4046 0.0001
9 Tb 0.0000 0.0001 0.4046

# 2
VASP calculation (PBE) on a geometry-optimized YScCd2Ga2 structure.

a = 9.3059 Å, b = 4.6480 Å, c = 13.9465 Å
α = 90.00°, β = 109.40°, γ = 90.00°
Fractional positions:
1 Cd 0.8792 0.0000 0.2585
2 Cd 0.4967 0.5000 0.9928
3 Cd 0.1366 0.0000 0.7525
4 Cd 0.7403 0.5000 0.4969
5 Cd 0.0005 0.5000 0.0009
6 Cd 0.2565 0.5000 0.4971
7 Cd 0.3795 0.0000 0.2587
8 Cd 0.6135 0.0000 0.7441
9 Y 0.3163 0.5000 0.1270
10 Y 0.0594 0.5000 0.6217
11 Y 0.8103 0.5000 0.1267
12 Y 0.9328 0.0000 0.8705
13 Ga 0.5632 0.0000 0.1257
14 Ga 0.6828 0.5000 0.8704
15 Ga 0.0646 0.0000 0.1295
16 Ga 0.4384 0.5000 0.3763
17 Ga 0.8082 0.0000 0.6229
18 Ga 0.1890 0.5000 0.8744
19 Ga 0.3122 0.0000 0.6206
20 Ga 0.9389 0.5000 0.3782
21 Sc 0.5630 0.5000 0.6250
22 Sc 0.1875 0.0000 0.3771
23 Sc 0.4415 0.0000 0.8756
24 Sc 0.6891 0.0000 0.3769

# 3
VASP calculation (PBE) on a geometry-optimized LiCdPO4 structure.

## Properties
Excess energy over the best structure of this formula in the dataset, eV/atom: 0.0028

a = 10.6933 Å, b = 6.2865 Å, c = 4.7708 Å
α = 90.00°, β = 90.00°, γ = 90.00°
Fractional positions:
1 O 0.4130 0.2500 0.2839
2 O 0.4523 0.7500 0.2648
3 O 0.3462 0.4468 0.7374
4 O 0.8462 0.0532 0.7626
5 O 0.9523 0.7500 0.2352
6 O 0.1538 0.9468 0.2374
7 O 0.6538 0.5532 0.2626
8 O 0.1538 0.5532 0.2374
9 O 0.0477 0.2500 0.7648
10 O 0.5870 0.7500 0.7161
11 O 0.5477 0.2500 0.7352
12 O 0.9130 0.2500 0.2161
13 O 0.0870 0.7500 0.7839
14 O 0.6538 0.9468 0.2626
15 O 0.8462 0.4468 0.7626
16 O 0.3462 0.0532 0.7374
17 P 0.5856 0.7500 0.3949
18 P 0.0856 0.7500 0.1051
19 P 0.9144 0.2500 0.8949
20 P 0.4144 0.2500 0.6051
21 Li 0.5000 0.5000 0.0000
22 Li 0.0000 0.5000 0.5000
23 Li 0.0000 0.0000 0.5000
24 Li 0.5000 0.0000 0.0000
25 Cd 0.2827 0.7500 0.5476
26 Cd 0.2173 0.2500 0.0476
27 Cd 0.7173 0.2500 0.4524
28 Cd 0.7827 0.7500 0.9524

# 4
VASP calculation (PBE) on a geometry-optimized Tl2CoNiBr6 structure.

a = 7.2228 Å, b = 7.2228 Å, c = 7.2228 Å
α = 60.00°, β = 60.00°, γ = 60.00°
Each line ends with the local moment (μB).
Fractional positions:
1 Br 0.7500 0.2500 0.2500  0.00
2 Br 0.2500 0.2500 0.7500  0.02
3 Br 0.7500 0.2500 0.7500  0.00
4 Br 0.7500 0.7500 0.2500  0.02
5 Br 0.2500 0.7500 0.7500  0.00
6 Br 0.2500 0.7500 0.2500  0.00
7 Tl 0.2500 0.2500 0.2500  0.00
8 Tl 0.7500 0.7500 0.7500  0.00
9 Ni 0.5000 0.5000 0.5000  -1.13
10 Co 0.0000 0.0000 0.0000  2.10

# 5
VASP calculation (PBE) on a geometry-optimized Er2Co7B3 structure.

a = 4.9873 Å, b = 4.9873 Å, c = 12.7852 Å
α = 90.00°, β = 90.00°, γ = 120.01°
Each line ends with the local moment (μB).
Fractional positions:
1 B 0.3333 0.6667 0.7316  -0.02
2 B 0.6667 0.3334 0.5000  -0.01
3 B 0.3333 0.6667 0.2684  -0.02
4 B 0.6667 0.3333 0.2684  -0.02
5 B 0.3334 0.6667 0.5000  -0.01
6 B 0.6667 0.3333 0.7316  -0.02
7 Co 0.5000 0.0000 0.3840  0.07
8 Co 0.0000 0.5000 0.8457  0.67
9 Co 0.5000 0.0000 0.1543  0.67
10 Co 0.5000 0.5000 0.8457  0.67
11 Co 0.5000 0.5000 0.1543  0.67
12 Co 0.6667 0.3333 0.0000  1.59
13 Co 0.5000 0.0000 0.8457  0.67
14 Co 0.5000 0.0000 0.6160  0.07
15 Co 0.5000 0.5000 0.3840  0.07
16 Co 0.0000 0.5000 0.3840  0.07
17 Co 0.3333 0.6667 0.0000  1.59
18 Co 0.0000 0.5000 0.1543  0.66
19 Co 0.0000 0.5000 0.6160  0.07
20 Co 0.5000 0.5000 0.6160  0.07
21 Er 0.0000 0.0000 0.5000  -0.01
22 Er 0.0000 0.0000 0.0000  -0.22
23 Er 0.0000 0.0000 0.7391  -0.12
24 Er 0.0000 0.0000 0.2609  -0.12

# 6
VASP calculation (PBE) on a geometry-optimized CsTaAl structure.

a = 5.0640 Å, b = 5.0640 Å, c = 5.0640 Å
α = 60.00°, β = 60.00°, γ = 60.00°
Fractional positions:
1 Al 0.2500 0.2500 0.2500
2 Ta 0.7500 0.7500 0.7500
3 Cs 0.0000 0.0000 0.0000

Number 1: calculated total energy -4.53 eV/atom. Number 2: calculated total energy -3.65 eV/atom. Number 3: calculated total energy -6.04 eV/atom. Number 4: calculated total energy -3.20 eV/atom. Number 5: calculated total energy -6.99 eV/atom. Number 6: calculated total energy -2.91 eV/atom.